(1)
A relaxed Pm7Y2Er crystal, computed with PBE.

Summary:
The value obtained for the energy relative to the elements is 63 kJ/mol of atoms. As for the space group: Cmmm, No. 65. For the total magnetization, the calculation gives 0.0 Bohr magnetons per cell.

Lattice parameters (Å, degrees): 9.7576 9.7576 5.3857 90.00 90.00 127.25
With the nearest neighbours (Å) after each atom.
Atoms (fractional coordinates):
Pm (0.0000, 0.0000, 0.0000)  4 Pm 3.36, 2 Y 3.62
Pm (0.2123, 0.4281, 0.0000)  4 Pm 3.12-3.49, 1 Y 3.27
Pm (0.3019, 0.6981, 0.5000)  2 Y 3.16, 1 Er 3.46, 4 Pm 3.49
Pm (0.4281, 0.2123, 0.0000)  4 Pm 3.12-3.49, 1 Y 3.27
Pm (0.5719, 0.7877, 0.0000)  4 Pm 3.12-3.49, 1 Y 3.27
Pm (0.6981, 0.3019, 0.5000)  2 Y 3.16, 1 Er 3.46, 4 Pm 3.49
Pm (0.7877, 0.5719, 0.0000)  4 Pm 3.12-3.49, 1 Y 3.27
Y (0.2068, 0.7932, 0.0000)  4 Pm 3.16-3.27
Y (0.7932, 0.2068, 0.0000)  4 Pm 3.16-3.27
Er (0.5000, 0.5000, 0.5000)  10 Pm 3.46-3.64

(2)
A relaxed Pm7Y16Er6 crystal, computed with PBE.

Summary:
The value obtained for the energy relative to the elements is 17 kJ/mol of atoms. As for the space group: Fm-3m, No. 225. For the total magnetization, the calculation gives 0.0 Bohr magnetons per cell.

Lattice parameters (Å, degrees): 11.0748 11.0748 11.0748 60.00 60.00 60.00
With the nearest neighbours (Å) after each atom.
Atoms (fractional coordinates):
Pm (0.0000, 0.0000, 0.0000)  6 Er 3.51
Pm (0.0000, 0.0000, 0.5000)  8 Y 3.23-3.51
Pm (0.0000, 0.5000, 0.0000)  8 Y 3.23-3.51
Pm (0.0000, 0.5000, 0.5000)  8 Y 3.23-3.51
Pm (0.5000, 0.0000, 0.0000)  8 Y 3.23-3.51
Pm (0.5000, 0.0000, 0.5000)  8 Y 3.23-3.51
Pm (0.5000, 0.5000, 0.0000)  8 Y 3.23-3.51
Y (0.1495, 0.1495, 0.1495)  3 Pm 3.23, 3 Er 3.51
Y (0.1495, 0.1495, 0.5514)  3 Pm 3.23, 3 Er 3.51
Y (0.1495, 0.5514, 0.1495)  3 Pm 3.23, 3 Er 3.51
Y (0.1610, 0.6130, 0.6130)  3 Pm 3.51, 6 Y 3.54-3.81, 3 Er 3.57
Y (0.3870, 0.3870, 0.3870)  3 Pm 3.51, 6 Y 3.54-3.81, 3 Er 3.57
Y (0.3870, 0.3870, 0.8390)  3 Pm 3.51, 6 Y 3.54-3.81, 3 Er 3.57
Y (0.3870, 0.8390, 0.3870)  3 Pm 3.51, 6 Y 3.54-3.81, 3 Er 3.57
Y (0.4486, 0.8505, 0.8505)  3 Pm 3.23, 3 Er 3.51
Y (0.5514, 0.1495, 0.1495)  3 Pm 3.23, 3 Er 3.51
Y (0.6130, 0.1610, 0.6130)  3 Pm 3.51, 6 Y 3.54-3.81, 3 Er 3.57
Y (0.6130, 0.6130, 0.1610)  3 Pm 3.51, 6 Y 3.54-3.81, 3 Er 3.57
Y (0.6130, 0.6130, 0.6130)  3 Pm 3.51, 6 Y 3.54-3.81, 3 Er 3.57
Y (0.8390, 0.3870, 0.3870)  3 Pm 3.51, 6 Y 3.54-3.81, 3 Er 3.57
Y (0.8505, 0.4486, 0.8505)  3 Pm 3.23, 3 Er 3.51
Y (0.8505, 0.8505, 0.4486)  3 Pm 3.23, 3 Er 3.51
Y (0.8505, 0.8505, 0.8505)  3 Pm 3.23, 3 Er 3.51
Er (0.2242, 0.2242, 0.7758)  1 Pm 3.51, 8 Y 3.51-3.57
Er (0.2242, 0.7758, 0.2242)  1 Pm 3.51, 8 Y 3.51-3.57
Er (0.2242, 0.7758, 0.7758)  1 Pm 3.51, 8 Y 3.51-3.57
Er (0.7758, 0.2242, 0.2242)  1 Pm 3.51, 8 Y 3.51-3.57
Er (0.7758, 0.2242, 0.7758)  1 Pm 3.51, 8 Y 3.51-3.57
Er (0.7758, 0.7758, 0.2242)  1 Pm 3.51, 8 Y 3.51-3.57

(3)
A relaxed PmYEr2 crystal, computed with PBE.

Summary:
The value obtained for the energy relative to the elements is 1 kJ/mol of atoms. As for the space group: Imm2, No. 44. For the total magnetization, the calculation gives 0.0 Bohr magnetons per cell.

Lattice parameters (Å, degrees): 6.7280 6.7280 6.7280 148.60 65.28 124.38
With the nearest neighbours (Å) after each atom.
Atoms (fractional coordinates):
Pm (0.0000, 0.0000, 0.0000)  6 Er 3.52-3.53, 4 Y 3.62-3.64, 2 Pm 3.64
Y (0.4983, 0.9983, 0.5000)  6 Er 3.52-3.53, 4 Pm 3.62-3.64, 2 Y 3.64
Er (0.4154, 0.6648, 0.7506)  3 Y 3.52-3.53, 3 Pm 3.52-3.53, 6 Er 3.63-3.64
Er (0.9143, 0.6648, 0.2494)  3 Y 3.52-3.53, 3 Pm 3.52-3.53, 6 Er 3.63-3.64

(4)
A relaxed Pm6YEr12 crystal, computed with PBE.

Summary:
The value obtained for the energy relative to the elements is 21 kJ/mol of atoms. As for the space group: R-3m, No. 166. For the total magnetization, the calculation gives 0.0 Bohr magnetons per cell.

Lattice parameters (Å, degrees): 8.6872 8.6872 8.6872 98.65 98.65 98.65
With the nearest neighbours (Å) after each atom.
Atoms (fractional coordinates):
Pm (0.1556, 0.5979, 0.5979)  1 Pm 3.08, 1 Y 3.42
Pm (0.4021, 0.4021, 0.8444)  1 Pm 3.08, 1 Y 3.42
Pm (0.4021, 0.8444, 0.4021)  1 Pm 3.08, 1 Y 3.42
Pm (0.5979, 0.1556, 0.5979)  1 Pm 3.08, 1 Y 3.42
Pm (0.5979, 0.5979, 0.1556)  1 Pm 3.08, 1 Y 3.42
Pm (0.8444, 0.4021, 0.4021)  1 Pm 3.08, 1 Y 3.42
Y (0.5000, 0.5000, 0.5000)  6 Pm 3.42
Er (0.0000, 0.2569, 0.7431)  6 Er 3.33-3.52, 4 Pm 3.46-3.55
Er (0.0000, 0.7431, 0.2569)  6 Er 3.33-3.52, 4 Pm 3.46-3.55
Er (0.1446, 0.1446, 0.4181)  6 Er 3.33-3.60, 2 Pm 3.68
Er (0.1446, 0.4181, 0.1446)  6 Er 3.33-3.60, 2 Pm 3.68
Er (0.2569, 0.0000, 0.7431)  6 Er 3.33-3.52, 4 Pm 3.46-3.55
Er (0.2569, 0.7431, 0.0000)  6 Er 3.33-3.52, 4 Pm 3.46-3.55
Er (0.4181, 0.1446, 0.1446)  6 Er 3.33-3.60, 2 Pm 3.68
Er (0.5819, 0.8554, 0.8554)  6 Er 3.33-3.60, 2 Pm 3.68
Er (0.7431, 0.0000, 0.2569)  6 Er 3.33-3.52, 4 Pm 3.46-3.55
Er (0.7431, 0.2569, 0.0000)  6 Er 3.33-3.52, 4 Pm 3.46-3.55
Er (0.8554, 0.5819, 0.8554)  6 Er 3.33-3.60, 2 Pm 3.68
Er (0.8554, 0.8554, 0.5819)  6 Er 3.33-3.60, 2 Pm 3.68

(5)
A relaxed Pm4Y11Er9 crystal, computed with PBE.

Summary:
The value obtained for the energy relative to the elements is 6 kJ/mol of atoms. As for the space group: Cmmm, No. 65. For the total magnetization, the calculation gives 0.0 Bohr magnetons per cell.

Lattice parameters (Å, degrees): 14.7545 14.7545 3.5337 90.00 90.00 91.78
With the nearest neighbours (Å) after each atom.
Atoms (fractional coordinates):
Pm (0.0499, 0.2200, 0.0000)  2 Er 3.31-3.44, 6 Y 3.49-3.63, 3 Pm 3.53-3.60
Pm (0.2200, 0.0499, 0.0000)  2 Er 3.31-3.44, 6 Y 3.49-3.63, 3 Pm 3.53-3.60
Pm (0.7800, 0.9501, 0.0000)  2 Er 3.31-3.44, 6 Y 3.49-3.63, 3 Pm 3.53-3.60
Pm (0.9501, 0.7800, 0.0000)  2 Er 3.31-3.44, 6 Y 3.49-3.63, 3 Pm 3.53-3.60
Y (0.0856, 0.4221, 0.5000)  4 Y 3.47-3.57, 2 Pm 3.49, 6 Er 3.56-3.61
Y (0.1581, 0.8419, 0.5000)  3 Y 3.53-3.65, 6 Er 3.62-3.79, 4 Pm 3.63
Y (0.2598, 0.2598, 0.5000)  4 Er 3.52, 4 Y 3.53-3.57, 4 Pm 3.60
Y (0.3303, 0.6697, 0.5000)  8 Er 3.53-3.56, 4 Y 3.53-3.65
Y (0.4221, 0.0856, 0.5000)  4 Y 3.47-3.57, 2 Pm 3.49, 6 Er 3.56-3.61
Y (0.5000, 0.5000, 0.5000)  4 Y 3.53-3.60, 8 Er 3.54
Y (0.5779, 0.9144, 0.5000)  4 Y 3.47-3.57, 2 Pm 3.49, 6 Er 3.56-3.61
Y (0.6697, 0.3303, 0.5000)  8 Er 3.53-3.56, 4 Y 3.53-3.65
Y (0.7402, 0.7402, 0.5000)  4 Er 3.52, 4 Y 3.53-3.57, 4 Pm 3.60
Y (0.8419, 0.1581, 0.5000)  3 Y 3.53-3.65, 6 Er 3.62-3.79, 4 Pm 3.63
Y (0.9144, 0.5779, 0.5000)  4 Y 3.47-3.57, 2 Pm 3.49, 6 Er 3.56-3.61
Er (0.0000, 0.0000, 0.0000)  4 Pm 3.31, 2 Er 3.53
Er (0.1233, 0.6292, 0.0000)  1 Pm 3.44, 3 Er 3.53-3.55, 8 Y 3.56-3.62
Er (0.2941, 0.4645, 0.0000)  8 Y 3.52-3.59, 4 Er 3.53-3.61
Er (0.3708, 0.8767, 0.0000)  1 Pm 3.44, 3 Er 3.53-3.55, 8 Y 3.56-3.62
Er (0.4645, 0.2941, 0.0000)  8 Y 3.52-3.59, 4 Er 3.53-3.61
Er (0.5355, 0.7059, 0.0000)  8 Y 3.52-3.59, 4 Er 3.53-3.61
Er (0.6292, 0.1233, 0.0000)  1 Pm 3.44, 3 Er 3.53-3.55, 8 Y 3.56-3.62
Er (0.7059, 0.5355, 0.0000)  8 Y 3.52-3.59, 4 Er 3.53-3.61
Er (0.8767, 0.3708, 0.0000)  1 Pm 3.44, 3 Er 3.53-3.55, 8 Y 3.56-3.62

(6)
A relaxed Pm2Y4Er5 crystal, computed with PBE.

Summary:
The value obtained for the energy relative to the elements is 5 kJ/mol of atoms. As for the space group: P-1, No. 2. For the total magnetization, the calculation gives 0.0 Bohr magnetons per cell.

Lattice parameters (Å, degrees): 3.6698 9.2006 10.8949 102.57 99.67 90.00
With the nearest neighbours (Å) after each atom.
Atoms (fractional coordinates):
Pm (0.1158, 0.0048, 0.2307)  5 Er 3.41-3.63, 5 Y 3.43-3.74, 2 Pm 3.67
Pm (0.8842, 0.9952, 0.7693)  5 Er 3.41-3.63, 5 Y 3.43-3.74, 2 Pm 3.67
Y (0.1716, 0.4191, 0.3429)  6 Er 3.52-3.91, 6 Y 3.67-3.84, 1 Pm 3.74
Y (0.4716, 0.7949, 0.9433)  4 Pm 3.43-3.74, 3 Er 3.44-3.47, 5 Y 3.67-3.75
Y (0.5284, 0.2051, 0.0567)  4 Pm 3.43-3.74, 3 Er 3.44-3.47, 5 Y 3.67-3.75
Y (0.8284, 0.5809, 0.6571)  6 Er 3.52-3.91, 6 Y 3.67-3.84, 1 Pm 3.74
Er (0.0000, 0.5000, 0.0000)  6 Er 3.32-3.67, 4 Y 3.44
Er (0.2503, 0.8283, 0.5014)  6 Er 3.38-3.67, 3 Pm 3.47-3.63, 3 Y 3.61-3.77
Er (0.3819, 0.3055, 0.7634)  6 Er 3.32-3.67, 2 Pm 3.41, 3 Y 3.47-3.52
Er (0.6181, 0.6945, 0.2366)  6 Er 3.32-3.67, 2 Pm 3.41, 3 Y 3.47-3.52
Er (0.7497, 0.1717, 0.4986)  6 Er 3.38-3.67, 3 Pm 3.47-3.63, 3 Y 3.61-3.77

(7)
A relaxed Pm4Y5Er4 crystal, computed with PBE.

Summary:
The value obtained for the energy relative to the elements is 2 kJ/mol of atoms. As for the space group: I4/m, No. 87. For the total magnetization, the calculation gives 0.0 Bohr magnetons per cell.

Lattice parameters (Å, degrees): 9.4646 9.4646 9.4646 94.09 94.09 149.04
With the nearest neighbours (Å) after each atom.
Atoms (fractional coordinates):
Pm (0.0774, 0.3828, 0.4603)  4 Er 3.55-3.58, 3 Y 3.57-3.60, 5 Pm 3.60-3.62
Pm (0.3828, 0.9226, 0.3054)  4 Er 3.55-3.58, 3 Y 3.57-3.60, 5 Pm 3.60-3.62
Pm (0.6172, 0.0774, 0.6946)  4 Er 3.55-3.58, 3 Y 3.57-3.60, 5 Pm 3.60-3.62
Pm (0.9226, 0.6172, 0.5397)  4 Er 3.55-3.58, 3 Y 3.57-3.60, 5 Pm 3.60-3.62
Y (0.0000, 0.0000, 0.0000)  8 Y 3.57, 4 Er 3.58
Y (0.3089, 0.5392, 0.8481)  4 Y 3.56-3.57, 5 Er 3.56-3.59, 3 Pm 3.57-3.60
Y (0.4608, 0.3089, 0.7697)  4 Y 3.56-3.57, 5 Er 3.56-3.59, 3 Pm 3.57-3.60
Y (0.5392, 0.6911, 0.2303)  4 Y 3.56-3.57, 5 Er 3.56-3.59, 3 Pm 3.57-3.60
Y (0.6911, 0.4608, 0.1519)  4 Y 3.56-3.57, 5 Er 3.56-3.59, 3 Pm 3.57-3.60
Er (0.1542, 0.7694, 0.9236)  4 Pm 3.55-3.58, 6 Y 3.56-3.59, 2 Er 3.57
Er (0.2306, 0.1542, 0.3848)  4 Pm 3.55-3.58, 6 Y 3.56-3.59, 2 Er 3.57
Er (0.7694, 0.8458, 0.6152)  4 Pm 3.55-3.58, 6 Y 3.56-3.59, 2 Er 3.57
Er (0.8458, 0.2306, 0.0764)  4 Pm 3.55-3.58, 6 Y 3.56-3.59, 2 Er 3.57

(8)
A relaxed PmY2Er6 crystal, computed with PBE.

Summary:
The value obtained for the energy relative to the elements is 2 kJ/mol of atoms. As for the space group: P4_2/mnm, No. 136. For the total magnetization, the calculation gives 0.0 Bohr magnetons per cell.

Lattice parameters (Å, degrees): 10.6070 10.6070 5.0093 90.00 90.00 90.00
With the nearest neighbours (Å) after each atom.
Atoms (fractional coordinates):
Pm (0.0000, 0.0000, 0.0000)  4 Y 3.55, 8 Er 3.55
Pm (0.5000, 0.5000, 0.5000)  4 Y 3.55, 8 Er 3.55
Y (0.1675, 0.1675, 0.5000)  10 Er 3.52-3.55, 2 Pm 3.55
Y (0.3325, 0.6675, 0.0000)  10 Er 3.52-3.55, 2 Pm 3.55
Y (0.6675, 0.3325, 0.0000)  10 Er 3.52-3.55, 2 Pm 3.55
Y (0.8325, 0.8325, 0.5000)  10 Er 3.52-3.55, 2 Pm 3.55
Er (0.0004, 0.3349, 0.0000)  8 Er 3.50-3.55, 3 Y 3.53-3.55, 1 Pm 3.55
Er (0.9996, 0.6651, 0.0000)  8 Er 3.50-3.55, 3 Y 3.53-3.55, 1 Pm 3.55
Er (0.1651, 0.5004, 0.5000)  8 Er 3.50-3.55, 3 Y 3.53-3.55, 1 Pm 3.55
Er (0.1675, 0.8325, 0.5000)  4 Y 3.52-3.55, 6 Er 3.52-3.55, 2 Pm 3.55
Er (0.3325, 0.3325, 0.0000)  4 Y 3.52-3.55, 6 Er 3.52-3.55, 2 Pm 3.55
Er (0.3349, 0.0004, 0.0000)  8 Er 3.50-3.55, 3 Y 3.53-3.55, 1 Pm 3.55
Er (0.5004, 0.1651, 0.5000)  8 Er 3.50-3.55, 3 Y 3.53-3.55, 1 Pm 3.55
Er (0.4996, 0.8349, 0.5000)  8 Er 3.50-3.55, 3 Y 3.53-3.55, 1 Pm 3.55
Er (0.6651, 0.9996, 0.0000)  8 Er 3.50-3.55, 3 Y 3.53-3.55, 1 Pm 3.55
Er (0.6675, 0.6675, 0.0000)  4 Y 3.52-3.55, 6 Er 3.52-3.55, 2 Pm 3.55
Er (0.8325, 0.1675, 0.5000)  4 Y 3.52-3.55, 6 Er 3.52-3.55, 2 Pm 3.55
Er (0.8349, 0.4996, 0.5000)  8 Er 3.50-3.55, 3 Y 3.53-3.55, 1 Pm 3.55

(9)
A relaxed PmYErZn crystal, computed with PBE.

Summary:
The value obtained for the energy relative to the elements is 3 kJ/mol of atoms. As for the space group: F-43m, No. 216. For the total magnetization, the calculation gives 0.0 Bohr magnetons per cell.

Lattice parameters (Å, degrees): 5.3722 5.3722 5.3722 60.00 60.00 60.00
With the nearest neighbours (Å) after each atom.
Atoms (fractional coordinates):
Pm (0.0000, 0.0000, 0.0000)  4 Zn 3.29, 4 Er 3.29
Y (0.5000, 0.5000, 0.5000)  4 Zn 3.29, 4 Er 3.29
Er (0.2500, 0.2500, 0.2500)  4 Pm 3.29, 4 Y 3.29
Zn (0.7500, 0.7500, 0.7500)  4 Pm 3.29, 4 Y 3.29

(10)
A relaxed PmYErZn crystal, computed with PBE.

Summary:
The value obtained for the energy relative to the elements is -16 kJ/mol of atoms. As for the space group: P4mm, No. 99. For the total magnetization, the calculation gives 0.0 Bohr magnetons per cell.

Lattice parameters (Å, degrees): 3.5735 3.5735 8.7163 90.00 90.00 90.00
With the nearest neighbours (Å) after each atom.
Atoms (fractional coordinates):
Pm (0.0000, 0.0000, 0.0000)  4 Pm 3.57, 4 Er 3.60, 4 Y 3.65
Y (0.5000, 0.5000, 0.6984)  4 Zn 3.10
Er (0.5000, 0.5000, 0.2941)  4 Zn 3.06
Zn (0.0000, 0.0000, 0.4918)  4 Er 3.06, 4 Y 3.10

(11)
A relaxed Pm2Y3Er6Zr crystal, computed with PBE.

Summary:
The value obtained for the energy relative to the elements is 5 kJ/mol of atoms. As for the space group: C2/m, No. 12. For the total magnetization, the calculation gives 0.0 Bohr magnetons per cell.

Lattice parameters (Å, degrees): 6.0881 6.0881 11.6431 94.98 94.98 119.93
With the nearest neighbours (Å) after each atom.
Atoms (fractional coordinates):
Pm (0.1667, 0.8333, 0.0000)  6 Er 3.48-3.49, 3 Zr 3.51-3.52, 3 Pm 3.52
Pm (0.8333, 0.1667, 0.0000)  6 Er 3.48-3.49, 3 Zr 3.51-3.52, 3 Pm 3.52
Y (0.0000, 0.0000, 0.5000)  6 Y 3.52, 6 Er 3.54-3.58
Y (0.3336, 0.6664, 0.5000)  6 Y 3.51-3.52, 6 Er 3.54-3.58
Y (0.6664, 0.3336, 0.5000)  6 Y 3.51-3.52, 6 Er 3.54-3.58
Er (0.0915, 0.4179, 0.7542)  6 Er 3.44-3.56, 1 Zr 3.45, 2 Pm 3.48-3.49, 3 Y 3.54-3.58
Er (0.2558, 0.2558, 0.2455)  6 Er 3.44-3.56, 1 Zr 3.44, 2 Pm 3.48, 3 Y 3.54-3.58
Er (0.4179, 0.0915, 0.7542)  6 Er 3.44-3.56, 1 Zr 3.45, 2 Pm 3.48-3.49, 3 Y 3.54-3.58
Er (0.5821, 0.9085, 0.2458)  6 Er 3.44-3.56, 1 Zr 3.45, 2 Pm 3.48-3.49, 3 Y 3.54-3.58
Er (0.7442, 0.7442, 0.7545)  6 Er 3.44-3.56, 1 Zr 3.44, 2 Pm 3.48, 3 Y 3.54-3.58
Er (0.9085, 0.5821, 0.2458)  6 Er 3.44-3.56, 1 Zr 3.45, 2 Pm 3.48-3.49, 3 Y 3.54-3.58
Zr (0.5000, 0.5000, 0.0000)  6 Er 3.44-3.45, 6 Pm 3.51-3.52

- Look up the total magnetization of the ninth one.
  0.0 Bohr magnetons per cell

- Number 8 is which compound?
  PmY2Er6

- Look up the total magnetization of the tenth one.
  0.0 Bohr magnetons per cell